[1]
Computed, not measured: a geometry-optimized TlBOs structure at the PBE level of DFT.

For the total energy, the calculation gives -16.69 eV/f.u. As for the symmetry: No. 216. The calculation puts the volume at 181.08 Å³/cell.

a b c (Å): 5.657 5.657 5.657
angles (deg): 90.00 90.00 90.00
Element x y z (fractional)
Tl 0.000 0.000 0.000
Tl 0.000 0.500 0.500
Tl 0.500 0.000 0.500
Tl 0.500 0.500 0.000
B 0.250 0.250 0.750
B 0.250 0.750 0.250
B 0.750 0.250 0.250
B 0.750 0.750 0.750
Os 0.000 0.000 0.500
Os 0.000 0.500 0.000
Os 0.500 0.000 0.000
Os 0.500 0.500 0.500

=====

[2]
Computed, not measured: a geometry-optimized GdEr2Sb3 structure at the PBE level of DFT.

For the total energy, the calculation gives -32.85 eV/f.u. As for the symmetry: No. 164. The calculation puts the volume at 177.07 Å³/cell.

a b c (Å): 4.371 4.371 10.700
angles (deg): 90.00 90.00 120.00
Element x y z (fractional)
Gd 0.000 0.000 0.000
Er 0.333 0.667 0.665
Er 0.667 0.333 0.335
Sb 0.000 0.000 0.500
Sb 0.333 0.667 0.171
Sb 0.667 0.333 0.829

=====

[3]
Computed, not measured: a geometry-optimized NaNdCu3Se4 structure at the PBE level of DFT.

For the total energy, the calculation gives -35.77 eV/f.u. As for the symmetry: No. 215. The calculation puts the volume at 236.02 Å³/cell.

a b c (Å): 6.180 6.180 6.180
angles (deg): 90.00 90.00 90.00
Element x y z (fractional)
Na 0.000 0.000 0.000
Nd 0.500 0.500 0.500
Cu 0.000 0.500 0.500
Cu 0.500 0.000 0.500
Cu 0.500 0.500 0.000
Se 0.250 0.250 0.250
Se 0.250 0.750 0.750
Se 0.750 0.250 0.750
Se 0.750 0.750 0.250

=====

[4]
Computed, not measured: a geometry-optimized SmSnNO structure at the PBE level of DFT.

For the total energy, the calculation gives -26.18 eV/f.u. As for the symmetry: No. 129. The calculation puts the volume at 138.22 Å³/cell.

a b c (Å): 4.249 4.249 7.656
angles (deg): 90.00 90.00 90.00
Element x y z (fractional)
Sm 0.250 0.250 0.127
Sm 0.750 0.750 0.873
Sn 0.250 0.750 0.500
Sn 0.750 0.250 0.500
N 0.250 0.250 0.638
N 0.750 0.750 0.362
O 0.250 0.750 0.000
O 0.750 0.250 0.000

=====

[5]
Computed, not measured: a geometry-optimized BeInFeCu structure at the PBE level of DFT.

For the total energy, the calculation gives -17.25 eV/f.u. As for the symmetry: No. 216. The calculation puts the volume at 203.95 Å³/cell.

a b c (Å): 5.886 5.886 5.886
angles (deg): 90.00 90.00 90.00
Element x y z (fractional)
Be 0.000 0.000 0.000
Be 0.000 0.500 0.500
Be 0.500 0.000 0.500
Be 0.500 0.500 0.000
In 0.250 0.250 0.250
In 0.250 0.750 0.750
In 0.750 0.250 0.750
In 0.750 0.750 0.250
Fe 0.250 0.250 0.750
Fe 0.250 0.750 0.250
Fe 0.750 0.250 0.250
Fe 0.750 0.750 0.750
Cu 0.000 0.000 0.500
Cu 0.000 0.500 0.000
Cu 0.500 0.000 0.000
Cu 0.500 0.500 0.500

=====

[6]
Computed, not measured: a geometry-optimized GdEr2Mg5 structure at the PBE level of DFT.

For the total energy, the calculation gives -21.95 eV/f.u. As for the symmetry: No. 38. The calculation puts the volume at 416.76 Å³/cell.

a b c (Å): 5.179 7.682 10.476
angles (deg): 90.00 90.00 90.00
Element x y z (fractional)
Gd 0.000 0.000 0.000
Gd 0.000 0.500 0.500
Er 0.000 0.000 0.487
Er 0.000 0.500 0.987
Er 0.500 0.000 0.737
Er 0.500 0.500 0.237
Mg 0.000 0.246 0.244
Mg 0.000 0.254 0.744
Mg 0.000 0.746 0.744
Mg 0.000 0.754 0.244
Mg 0.500 0.000 0.240
Mg 0.500 0.248 0.487
Mg 0.500 0.252 0.987
Mg 0.500 0.500 0.740
Mg 0.500 0.748 0.987
Mg 0.500 0.752 0.487